Entry from Alexandria: an optimized crystal structure of Tb2Dy9Tm3 (PBE).

Cell lengths 6.1613, 8.6649, 8.6917 Å; angles 79.44, 77.36, 87.65 degrees
Closest atoms and distances in Å follow each position.
Fractional coordinates of all 14 atoms:
Tb 0.0474 0.0316 0.2983  8 Dy 3.37-3.66, 1 Tb 3.37, 2 Tm 3.41-3.46
Tb 0.9526 0.9684 0.7017  8 Dy 3.37-3.66, 1 Tb 3.37, 2 Tm 3.41-3.46
Dy 0.0111 0.7533 0.0808  3 Dy 3.18-3.46, 1 Tb 3.37, 1 Tm 3.50
Dy 0.1522 0.3336 0.5055  7 Dy 3.37-3.53, 2 Tb 3.44-3.59, 2 Tm 3.47-3.53
Dy 0.3095 0.3837 0.1019  3 Dy 3.16-3.38, 2 Tm 3.39-3.44, 1 Tb 3.48
Dy 0.4128 0.6878 0.3036  3 Tm 3.33-3.52, 7 Dy 3.43-3.72, 1 Tb 3.66
Dy 0.5000 0.0000 0.5000  4 Tb 3.44-3.58, 4 Dy 3.53-3.57, 2 Tm 3.71
Dy 0.5872 0.3122 0.6964  3 Tm 3.33-3.52, 7 Dy 3.43-3.72, 1 Tb 3.66
Dy 0.6905 0.6163 0.8981  3 Dy 3.16-3.38, 2 Tm 3.39-3.44, 1 Tb 3.48
Dy 0.8478 0.6664 0.4945  7 Dy 3.37-3.53, 2 Tb 3.44-3.59, 2 Tm 3.47-3.53
Dy 0.9889 0.2467 0.9192  3 Dy 3.18-3.46, 1 Tb 3.37, 1 Tm 3.50
Tm 0.2485 0.6203 0.7245  10 Dy 3.33-3.71, 1 Tb 3.46
Tm 0.5000 0.0000 0.0000  6 Dy 3.38-3.68, 2 Tb 3.41
Tm 0.7515 0.3797 0.2755  10 Dy 3.33-3.71, 1 Tb 3.46

The calculated total energy is -4.46 eV per atom. As for the theoretical density: 8532 kg/m³.